A relaxed structure of HfNbO2F. Source: Alexandria via LeMat-Bulk, functional PBE.

Properties
Raw total energy in eV per atom: -7.67

Cell: 4.0515 4.0515 4.2406 Å, 90.00 90.00 90.00°
Sites, in units of the cell vectors:
Hf 0.0000 0.0000 0.0000
Nb 0.5000 0.5000 0.5000
O 0.0000 0.5000 0.5000
O 0.5000 0.0000 0.5000
F 0.5000 0.5000 0.0000

A relaxed structure of HfNbO2F. Source: Alexandria via LeMat-Bulk, functional PBE.

Properties
Raw total energy in eV per atom: -8.14

Cell: 4.1377 4.1377 4.1554 Å, 90.00 90.00 90.00°
Sites, in units of the cell vectors:
Hf 0.0000 0.0000 0.0000
Nb 0.5000 0.5000 0.5000
O 0.0000 0.5000 0.0000
O 0.5000 0.0000 0.0000
F 0.0000 0.0000 0.5000